Compound: V6SnMo
Source: Alexandria via LeMat-Bulk
Functional: GGA-PBE
Structure: relaxed

* formation energy from the elements: 0.8 eV per formula unit
* DOS(E_F): 9.057 states/eV per cell

abc: 4.7216 5.6189 5.6173
angles: 123.78 97.21 97.23
Sites, in units of the cell vectors:
V1 0.5081 0.9421 0.5691
V2 0.4919 0.4308 0.0578
V3 0.5000 0.4329 0.5669
V4 0.9858 0.5403 0.9233
V5 0.0141 0.0768 0.4596
V6 0.0000 0.0763 0.9240
Sn1 0.4999 0.9343 0.0654
Mo1 0.0001 0.5665 0.4340